{"formula": "Pm3Cu5H12", "functional": "GGA-PBE", "state": "relaxed", "sg": "Ia-3d (230)", "final_energy_ev_per_cell": -315.90, "magmom_total_mub_per_fu": 0.000, "lattice_angstrom": [[-5.9007, 5.9007, 5.9007], [5.9007, -5.9007, 5.9007], [5.9007, 5.9007, -5.9007]], "species": ["Pm", "Pm", "Pm", "Pm", "Pm", "Pm", "Pm", "Pm", "Pm", "Pm", "Pm", "Pm", "Cu", "Cu", "Cu", "Cu", "Cu", "Cu", "Cu", "Cu", "Cu", "Cu", "Cu", "Cu", "Cu", "Cu", "Cu", "Cu", "Cu", "Cu", "Cu", "Cu", "H", "H", "H", "H", "H", "H", "H", "H", "H", "H", "H", "H", "H", "H", "H", "H", "H", "H", "H", "H", "H", "H", "H", "H", "H", "H", "H", "H", "H", "H", "H", "H", "H", "H", "H", "H", "H", "H", "H", "H", "H", "H", "H", "H", "H", "H", "H", "H"], "fractional_positions": [[0.1250, 0.2500, 0.3750], [0.1250, 0.3750, 0.7500], [0.2500, 0.3750, 0.1250], [0.2500, 0.8750, 0.6250], [0.3750, 0.1250, 0.2500], [0.3750, 0.7500, 0.1250], [0.6250, 0.2500, 0.8750], [0.6250, 0.8750, 0.7500], [0.7500, 0.1250, 0.3750], [0.7500, 0.6250, 0.8750], [0.8750, 0.6250, 0.2500], [0.8750, 0.7500, 0.6250], [0.0000, 0.0000, 0.0000], [0.0000, 0.0000, 0.5000], [0.0000, 0.5000, 0.0000], [0.0000, 0.5000, 0.5000], [0.1250, 0.7500, 0.8750], [0.1250, 0.8750, 0.2500], [0.2500, 0.1250, 0.8750], [0.2500, 0.6250, 0.3750], [0.3750, 0.2500, 0.6250], [0.3750, 0.6250, 0.7500], [0.5000, 0.0000, 0.0000], [0.5000, 0.0000, 0.5000], [0.5000, 0.5000, 0.0000], [0.5000, 0.5000, 0.5000], [0.6250, 0.3750, 0.2500], [0.6250, 0.7500, 0.3750], [0.7500, 0.3750, 0.6250], [0.7500, 0.8750, 0.1250], [0.8750, 0.1250, 0.7500], [0.8750, 0.2500, 0.1250], [0.0144, 0.1971, 0.1136], [0.0144, 0.3173, 0.9008], [0.0835, 0.6971, 0.6827], [0.0835, 0.8864, 0.4008], [0.0992, 0.6136, 0.4165], [0.0992, 0.9856, 0.6827], [0.1136, 0.0144, 0.1971], [0.1136, 0.5992, 0.9165], [0.1827, 0.1971, 0.5835], [0.1827, 0.4856, 0.5992], [0.1971, 0.1136, 0.0144], [0.1971, 0.5835, 0.1827], [0.3029, 0.3173, 0.9165], [0.3029, 0.4856, 0.3864], [0.3173, 0.9008, 0.0144], [0.3173, 0.9165, 0.3029], [0.3864, 0.3029, 0.4856], [0.3864, 0.5835, 0.9008], [0.4008, 0.0835, 0.8864], [0.4008, 0.8173, 0.5144], [0.4165, 0.0992, 0.6136], [0.4165, 0.8173, 0.8029], [0.4856, 0.3864, 0.3029], [0.4856, 0.5992, 0.1827], [0.5144, 0.4008, 0.8173], [0.5144, 0.6136, 0.6971], [0.5835, 0.1827, 0.1971], [0.5835, 0.9008, 0.3864], [0.5992, 0.1827, 0.4856], [0.5992, 0.9165, 0.1136], [0.6136, 0.4165, 0.0992], [0.6136, 0.6971, 0.5144], [0.6827, 0.0835, 0.6971], [0.6827, 0.0992, 0.9856], [0.6971, 0.5144, 0.6136], [0.6971, 0.6827, 0.0835], [0.8029, 0.4165, 0.8173], [0.8029, 0.8864, 0.9856], [0.8173, 0.5144, 0.4008], [0.8173, 0.8029, 0.4165], [0.8864, 0.4008, 0.0835], [0.8864, 0.9856, 0.8029], [0.9008, 0.0144, 0.3173], [0.9008, 0.3864, 0.5835], [0.9165, 0.1136, 0.5992], [0.9165, 0.3029, 0.3173], [0.9856, 0.6827, 0.0992], [0.9856, 0.8029, 0.8864]]}